A relaxed HfPSeS2 crystal. Source: the Alexandria database, functional PBE.

## Properties
Its density of states at the Fermi level is 3.545 states/eV/f.u. For the excess energy over the best structure of this formula in the dataset, the calculation gives 0.00 kcal/mol of atoms. The value obtained for the raw formation energy is 0.0821 eV/atom.

Structure (POSCAR):
```
HfPSeS2
1.0
-4.570 0.467 -1.374
-1.264 -3.509 3.013
-0.803 3.646 3.909
P S Hf Se
1 2 1 1
Cartesian
-0.401 1.823 1.955 P
-0.632 -1.755 1.507 S
-2.285 0.234 -0.687 S
0.000 0.000 0.000 Hf
-3.319 0.302 2.774 Se
```